(A)
This record from Alexandria describes a geometry-optimized CuAg2Pd2 structure. The functional is PBE.

ρ ... 9.452 g cm⁻³

```
data_CuAg2Pd2
_chemical_formula_sum 'Cu2 Ag4 Pd4'
_cell_length_a 6.713
_cell_length_b 6.713
_cell_length_c 3.836
_cell_angle_alpha 90.00
_cell_angle_beta 90.00
_cell_angle_gamma 90.00
_symmetry_space_group_name_H-M 'P 4/m b m'
_symmetry_Int_Tables_number 127
_symmetry_space_group_name_Hall '-P 4 2ab'
loop_
_atom_site_label
_atom_site_type_symbol
_atom_site_fract_x
_atom_site_fract_y
_atom_site_fract_z
Cu1 Cu 0.000 0.000 0.000
Ag1 Ag 0.145 0.355 0.000
Pd1 Pd 0.155 0.655 0.500
```



(B)
This record from Alexandria describes a geometry-optimized CuAg2Pd2 structure. The functional is PBE.

ρ ... 9.422 g cm⁻³

```
data_CuAg2Pd2
_chemical_formula_sum 'Cu2 Ag4 Pd4'
_cell_length_a 6.478
_cell_length_b 6.478
_cell_length_c 4.133
_cell_angle_alpha 90.00
_cell_angle_beta 90.00
_cell_angle_gamma 90.00
_symmetry_space_group_name_H-M 'P 4/m b m'
_symmetry_Int_Tables_number 127
_symmetry_space_group_name_Hall '-P 4 2ab'
loop_
_atom_site_label
_atom_site_type_symbol
_atom_site_fract_x
_atom_site_fract_y
_atom_site_fract_z
Cu1 Cu 0.000 0.000 0.000
Ag1 Ag 0.161 0.339 0.500
Pd1 Pd 0.143 0.643 0.000
```



Stability ranking, top and bottom: (B) is the most stable and (A) is the least stable.



(A)
This record from Alexandria describes a geometry-optimized Cu2Ag3Pd3 structure. The functional is PBE.

ρ ... 10.318 g cm⁻³

```
data_Cu2Ag3Pd3
_chemical_formula_sum 'Cu4 Ag6 Pd6'
_cell_length_a 4.011
_cell_length_b 4.082
_cell_length_c 15.140
_cell_angle_alpha 90.00
_cell_angle_beta 90.00
_cell_angle_gamma 90.00
_symmetry_space_group_name_H-M 'I m m m'
_symmetry_Int_Tables_number 71
_symmetry_space_group_name_Hall '-I 2 2'
loop_
_atom_site_label
_atom_site_type_symbol
_atom_site_fract_x
_atom_site_fract_y
_atom_site_fract_z
Cu1 Cu 0.000 0.000 0.250
Ag1 Ag 0.000 0.000 0.000
Ag2 Ag 0.000 0.500 0.133
Pd1 Pd 0.000 0.000 0.500
Pd2 Pd 0.000 0.500 0.363
```



(B)
This record from Alexandria describes a geometry-optimized Cu2Ag3Pd3 structure. The functional is PBE.

ρ ... 9.770 g cm⁻³

```
data_Cu2Ag3Pd3
_chemical_formula_sum 'Cu6 Ag9 Pd9'
_cell_length_a 7.3530
_cell_length_b 7.3530
_cell_length_c 8.3843
_cell_angle_alpha 90.00
_cell_angle_beta 90.00
_cell_angle_gamma 120.00
_symmetry_space_group_name_H-M 'R 3 2'
_symmetry_Int_Tables_number 155
_symmetry_space_group_name_Hall 'R 3 2"'
loop_
_atom_site_label
_atom_site_type_symbol
_atom_site_fract_x
_atom_site_fract_y
_atom_site_fract_z
Cu1 Cu 0.0000 0.0000 0.2398
Ag1 Ag 0.0000 0.2955 0.5000
Pd1 Pd 0.0000 0.6977 0.0000
```



Stability ranking, top and bottom: (A) is the most stable and (B) is the least stable.



(A)
This record from Alexandria describes a geometry-optimized CuAg2Pd4 structure. The functional is PBE.

ρ ... 8.323 g cm⁻³

```
data_CuAg2Pd4
_chemical_formula_sum 'Cu2 Ag4 Pd8'
_cell_length_a 4.585
_cell_length_b 4.585
_cell_length_c 13.382
_cell_angle_alpha 90.00
_cell_angle_beta 90.00
_cell_angle_gamma 90.00
_symmetry_space_group_name_H-M 'I 4/m m m'
_symmetry_Int_Tables_number 139
_symmetry_space_group_name_Hall '-I 4 2'
loop_
_atom_site_label
_atom_site_type_symbol
_atom_site_fract_x
_atom_site_fract_y
_atom_site_fract_z
Cu1 Cu 0.000 0.000 0.000
Ag1 Ag 0.000 0.000 0.380
Pd1 Pd 0.000 0.000 0.179
Pd2 Pd 0.000 0.500 0.000
```



(B)
This record from Alexandria describes a geometry-optimized CuAg2Pd4 structure. The functional is PBE.

ρ ... 9.910 g cm⁻³

```
data_CuAg2Pd4
_chemical_formula_sum 'Cu4 Ag8 Pd16'
_cell_length_a 7.774
_cell_length_b 7.774
_cell_length_c 7.818
_cell_angle_alpha 90.00
_cell_angle_beta 90.00
_cell_angle_gamma 90.00
_symmetry_space_group_name_H-M 'I -4 2 d'
_symmetry_Int_Tables_number 122
_symmetry_space_group_name_Hall 'I -4 2bw'
loop_
_atom_site_label
_atom_site_type_symbol
_atom_site_fract_x
_atom_site_fract_y
_atom_site_fract_z
Cu1 Cu 0.000 0.000 0.000
Ag1 Ag 0.113 0.250 0.625
Pd1 Pd 0.078 0.176 0.282
```



Stability ranking, top and bottom: (B) is the most stable and (A) is the least stable.